# 1
Cs2SbBr6F | PBE | optimized geometry

Computed properties:
DOS at the Fermi energy in states/eV/atom: 0.000
Electronic total energy in eV/atom: -2.880
M_tot in μB/cell: 0.0
Formation energy without anion corrections in eV per atom: -1.1067

The structure in CIF format:
```
data_Cs2SbBr6F
_cell_length_a 7.7006
_cell_length_b 7.7006
_cell_length_c 11.4230
_cell_angle_alpha 90.00
_cell_angle_beta 90.00
_cell_angle_gamma 90.00
_symmetry_space_group_name_H-M 'I 4/m m m'
_symmetry_Int_Tables_number 139
_symmetry_space_group_name_Hall '-I 4 2'
loop_
_atom_site_label
_atom_site_fract_x
_atom_site_fract_y
_atom_site_fract_z
Cs1 0.0000 0.5000 0.2500
Sb1 0.0000 0.0000 0.0000
Br1 0.0000 0.0000 0.2336
Br2 0.2430 0.2430 0.0000
F1 0.0000 0.0000 0.5000
```

---

# 2
Cs2SbBr2F4 | PBE | optimized geometry

Computed properties:
DOS at the Fermi energy in states/eV/atom: 0.389
Electronic total energy in eV/atom: -3.926
M_tot in μB/cell: 1.7
Formation energy without anion corrections in eV per atom: -2.0748

The structure in CIF format:
```
data_Cs2SbBr2F4
_cell_length_a 11.8913
_cell_length_b 7.2406
_cell_length_c 6.6508
_cell_angle_alpha 90.00
_cell_angle_beta 92.68
_cell_angle_gamma 90.00
_symmetry_space_group_name_H-M 'C 1 2/m 1'
_symmetry_Int_Tables_number 12
_symmetry_space_group_name_Hall '-C 2y'
loop_
_atom_site_label
_atom_site_fract_x
_atom_site_fract_y
_atom_site_fract_z
Cs1 0.1747 0.0000 0.1891
Sb1 0.0000 0.5000 0.0000
Br1 0.1457 0.5000 0.3247
F1 0.0968 0.2950 0.8780
```

---

# 3
Cs2SeBrF6 | PBE | optimized geometry

Computed properties:
DOS at the Fermi energy in states/eV/atom: 0.856
Electronic total energy in eV/atom: -3.745
M_tot in μB/cell: 0.0
Formation energy without anion corrections in eV per atom: -1.9361

The structure in CIF format:
```
data_Cs2SeBrF6
_cell_length_a 6.9822
_cell_length_b 6.9822
_cell_length_c 9.7127
_cell_angle_alpha 90.00
_cell_angle_beta 90.00
_cell_angle_gamma 90.00
_symmetry_space_group_name_H-M 'I 4/m m m'
_symmetry_Int_Tables_number 139
_symmetry_space_group_name_Hall '-I 4 2'
loop_
_atom_site_label
_atom_site_fract_x
_atom_site_fract_y
_atom_site_fract_z
Cs1 0.0000 0.5000 0.2500
Se1 0.0000 0.0000 0.0000
Br1 0.0000 0.0000 0.5000
F1 0.0000 0.0000 0.1983
F2 0.1951 0.1951 0.0000
```

---

# 4
Cs2SeBr2F4 | PBE | optimized geometry

Computed properties:
DOS at the Fermi energy in states/eV/atom: 0.000
Electronic total energy in eV/atom: -3.605
M_tot in μB/cell: 0.0
Formation energy without anion corrections in eV per atom: -1.8243

The structure in CIF format:
```
data_Cs2SeBr2F4
_cell_length_a 7.3703
_cell_length_b 7.3703
_cell_length_c 8.9280
_cell_angle_alpha 90.00
_cell_angle_beta 90.00
_cell_angle_gamma 90.00
_symmetry_space_group_name_H-M 'I 4/m m m'
_symmetry_Int_Tables_number 139
_symmetry_space_group_name_Hall '-I 4 2'
loop_
_atom_site_label
_atom_site_fract_x
_atom_site_fract_y
_atom_site_fract_z
Cs1 0.0000 0.5000 0.2500
Se1 0.0000 0.0000 0.0000
Br1 0.0000 0.0000 0.2951
F1 0.1879 0.1879 0.0000
```

---

# 5
Cs2SeBr6F | PBE | optimized geometry

Computed properties:
DOS at the Fermi energy in states/eV/atom: 0.536
Electronic total energy in eV/atom: -2.590
M_tot in μB/cell: 0.0
Formation energy without anion corrections in eV per atom: -0.8802

The structure in CIF format:
```
data_Cs2SeBr6F
_cell_length_a 7.4752
_cell_length_b 7.4752
_cell_length_c 11.7013
_cell_angle_alpha 90.00
_cell_angle_beta 90.00
_cell_angle_gamma 90.00
_symmetry_space_group_name_H-M 'I 4/m m m'
_symmetry_Int_Tables_number 139
_symmetry_space_group_name_Hall '-I 4 2'
loop_
_atom_site_label
_atom_site_fract_x
_atom_site_fract_y
_atom_site_fract_z
Cs1 0.0000 0.5000 0.2500
Se1 0.0000 0.0000 0.0000
Br1 0.0000 0.0000 0.2224
Br2 0.2465 0.2465 0.0000
F1 0.0000 0.0000 0.5000
```

---

# 6
CsSeBr2F | PBE | optimized geometry

Computed properties:
Offset from the most stable computed form in meV/atom: 365
DOS at the Fermi energy in states/eV/atom: 0.831
Electronic total energy in eV/atom: -2.581
M_tot in μB/cell: 1.5
Formation energy without anion corrections in eV per atom: -0.6702

The structure in CIF format:
```
data_CsSeBr2F
_cell_length_a 6.3153
_cell_length_b 6.3153
_cell_length_c 3.9886
_cell_angle_alpha 90.00
_cell_angle_beta 90.00
_cell_angle_gamma 90.00
_symmetry_space_group_name_H-M 'P 4/m m m'
_symmetry_Int_Tables_number 123
_symmetry_space_group_name_Hall '-P 4 2'
loop_
_atom_site_label
_atom_site_fract_x
_atom_site_fract_y
_atom_site_fract_z
Cs1 0.0000 0.0000 0.0000
Se1 0.5000 0.5000 0.0000
Br1 0.0000 0.5000 0.5000
F1 0.5000 0.5000 0.5000
```

---

# 7
CsSeBr2F | PBE | optimized geometry

Computed properties:
Offset from the most stable computed form in meV/atom: 0
DOS at the Fermi energy in states/eV/atom: 0.237
Electronic total energy in eV/atom: -2.947
M_tot in μB/cell: 0.0
Formation energy without anion corrections in eV per atom: -1.0355

The structure in CIF format:
```
data_CsSeBr2F
_cell_length_a 5.6996
_cell_length_b 5.6996
_cell_length_c 4.4688
_cell_angle_alpha 90.00
_cell_angle_beta 90.00
_cell_angle_gamma 90.00
_symmetry_space_group_name_H-M 'P 4/m m m'
_symmetry_Int_Tables_number 123
_symmetry_space_group_name_Hall '-P 4 2'
loop_
_atom_site_label
_atom_site_fract_x
_atom_site_fract_y
_atom_site_fract_z
Cs1 0.0000 0.0000 0.0000
Se1 0.5000 0.5000 0.5000
Br1 0.0000 0.5000 0.5000
F1 0.5000 0.5000 0.0000
```

---

# 8
Cs2SiBrF6 | PBE | optimized geometry

Computed properties:
DOS at the Fermi energy in states/eV/atom: 0.000
Electronic total energy in eV/atom: -4.692
M_tot in μB/cell: 2.0
Formation energy without anion corrections in eV per atom: -2.6894

The structure in CIF format:
```
data_Cs2SiBrF6
_cell_length_a 6.9476
_cell_length_b 6.9476
_cell_length_c 8.8240
_cell_angle_alpha 90.00
_cell_angle_beta 90.00
_cell_angle_gamma 90.00
_symmetry_space_group_name_H-M 'I 4/m m m'
_symmetry_Int_Tables_number 139
_symmetry_space_group_name_Hall '-I 4 2'
loop_
_atom_site_label
_atom_site_fract_x
_atom_site_fract_y
_atom_site_fract_z
Cs1 0.0000 0.5000 0.2500
Si1 0.0000 0.0000 0.0000
Br1 0.0000 0.0000 0.5000
F1 0.0000 0.0000 0.1968
F2 0.1745 0.1745 0.0000
```

---

# 9
CsSiTeBrF | PBE | optimized geometry

Computed properties:
Offset from the most stable computed form in meV/atom: 20
DOS at the Fermi energy in states/eV/atom: 0.269
Electronic total energy in eV/atom: -3.922
M_tot in μB/cell: 0.0
Formation energy without anion corrections in eV per atom: -1.3293

The structure in CIF format:
```
data_CsSiTeBrF
_cell_length_a 12.2881
_cell_length_b 4.9440
_cell_length_c 6.7994
_cell_angle_alpha 90.00
_cell_angle_beta 113.39
_cell_angle_gamma 90.00
_symmetry_space_group_name_H-M 'C 1 m 1'
_symmetry_Int_Tables_number 8
_symmetry_space_group_name_Hall 'C -2y'
loop_
_atom_site_label
_atom_site_fract_x
_atom_site_fract_y
_atom_site_fract_z
Cs1 0.0000 0.0000 0.0000
Si1 0.3238 0.0000 0.4979
Te1 0.2904 0.5000 0.3388
Br1 0.2419 0.0000 0.7586
F1 0.4653 0.0000 0.6750
```

---

# 10
CsSiTeBrF | PBE | optimized geometry

Computed properties:
Offset from the most stable computed form in meV/atom: 0
DOS at the Fermi energy in states/eV/atom: 0.276
Electronic total energy in eV/atom: -3.942
M_tot in μB/cell: 0.0
Formation energy without anion corrections in eV per atom: -1.3494

The structure in CIF format:
```
data_CsSiTeBrF
_cell_length_a 5.7997
_cell_length_b 4.9531
_cell_length_c 6.6734
_cell_angle_alpha 90.00
_cell_angle_beta 105.86
_cell_angle_gamma 90.00
_symmetry_space_group_name_H-M 'P 1 m 1'
_symmetry_Int_Tables_number 6
_symmetry_space_group_name_Hall 'P -2y'
loop_
_atom_site_label
_atom_site_fract_x
_atom_site_fract_y
_atom_site_fract_z
Cs1 0.0000 0.0000 0.0000
Si1 0.4873 0.5000 0.4569
Te1 0.6358 0.0000 0.4146
Br1 0.4300 0.5000 0.7979
F1 0.2009 0.5000 0.3126
```

---

# 11
CsSiTeBrF | PBE | optimized geometry

Computed properties:
Offset from the most stable computed form in meV/atom: 189
DOS at the Fermi energy in states/eV/atom: 0.305
Electronic total energy in eV/atom: -3.753
M_tot in μB/cell: 0.0
Formation energy without anion corrections in eV per atom: -1.1609

The structure in CIF format:
```
data_CsSiTeBrF
_cell_length_a 13.0740
_cell_length_b 4.0969
_cell_length_c 6.3461
_cell_angle_alpha 90.00
_cell_angle_beta 97.10
_cell_angle_gamma 90.00
_symmetry_space_group_name_H-M 'C 1 m 1'
_symmetry_Int_Tables_number 8
_symmetry_space_group_name_Hall 'C -2y'
loop_
_atom_site_label
_atom_site_fract_x
_atom_site_fract_y
_atom_site_fract_z
Cs1 0.0000 0.0000 0.0000
Si1 0.3548 0.0000 0.4075
Te1 0.2212 0.5000 0.4502
Br1 0.2217 0.5000 0.9450
F1 0.4161 0.0000 0.6607
```

---

# 12
CsSiTeBrF | PBE | optimized geometry

Computed properties:
Offset from the most stable computed form in meV/atom: 2
DOS at the Fermi energy in states/eV/atom: 0.270
Electronic total energy in eV/atom: -3.940
M_tot in μB/cell: 0.0
Formation energy without anion corrections in eV per atom: -1.3473

The structure in CIF format:
```
data_CsSiTeBrF
_cell_length_a 4.9362
_cell_length_b 6.2190
_cell_length_c 7.3545
_cell_angle_alpha 114.62
_cell_angle_beta 109.03
_cell_angle_gamma 90.02
_symmetry_space_group_name_H-M 'P 1'
_symmetry_Int_Tables_number 1
_symmetry_space_group_name_Hall 'P 1'
loop_
_atom_site_label
_atom_site_fract_x
_atom_site_fract_y
_atom_site_fract_z
Cs1 0.0000 0.0000 0.0000
Si1 0.6531 0.5896 0.3144
Te1 0.2174 0.7409 0.4468
Br1 0.4752 0.5110 0.9480
F1 0.6296 0.2999 0.2670
```